This record from Alexandria describes a geometry-optimized MgCo5SbO8 structure. The functional is PBE with a Hubbard U.

Structure (POSCAR):
```
MgCo5SbO8
1.0
-4.152 -3.128 3.174
-0.617 -6.003 -0.828
1.848 -4.270 4.700
Mg Co O Sb
1 5 8 1
Direct
0.500 0.500 0.500 Mg
0.311 0.311 0.964 Co
0.000 0.000 0.000 Co
0.000 0.500 0.500 Co
0.689 0.689 0.036 Co
0.500 0.000 0.500 Co
0.249 0.768 0.275 O
0.751 0.232 0.725 O
0.768 0.249 0.275 O
0.234 0.234 0.310 O
0.757 0.757 0.267 O
0.766 0.766 0.690 O
0.232 0.751 0.725 O
0.243 0.243 0.733 O
0.000 0.000 0.500 Sb
```

Computed properties:
The calculation puts the calculated volume at 11.4 Å³/atom. As for the offset from the most stable computed form: 0 meV per atom. For the total energy, the calculation gives -5.877 eV/atom.